1.
VASP calculation (GGA-PBEsol) on an optimized crystal structure of TlCd3.

a = 3.184 Å, b = 4.431 Å, c = 6.476 Å
α = 90.00°, β = 90.00°, γ = 90.00°
Sites, in units of the cell vectors:
Tl: 0.000 0.000 0.000
Cd: 0.500 0.500 0.733
Cd: 0.000 0.000 0.500
Cd: 0.500 0.500 0.267

Properties
- Symmetry: Pmmm
- D(E_F): 1.5 states/eV/f.u.
- Final energy: -0.1103 Ry per atom

***

2.
VASP calculation (GGA-PBEsol) on an optimized crystal structure of Ru2PbCl.

a = 4.576 Å, b = 4.576 Å, c = 4.576 Å
α = 60.00°, β = 60.00°, γ = 60.00°
Sites, in units of the cell vectors:
Cl: 0.500 0.500 0.500
Pb: 0.250 0.250 0.250
Ru: 0.000 0.000 0.000
Ru: 0.750 0.750 0.750

Properties
- Symmetry: F-43m
- D(E_F): 4.5 states/eV/f.u.
- Offset from the most stable computed form: 6.978 kcal/mol of atoms
- Final energy: -0.4157 Ry per atom